HgSb2ICl | Alexandria | PBE | relaxed; total magnetic moment = 0.719 μB per formula unit; SG = No. 123; raw total energy = -1.825 eV per atom; energy above the lowest structure with this stoichiometry = 0 meV/atom
1.0
5.6417 0.0000 0.0000
0.0000 5.6417 0.0000
0.0000 0.0000 5.8034
Sb Hg Cl I
2 1 1 1
direct
0.0000 0.5000 0.0000
0.5000 0.0000 0.0000
0.0000 0.0000 0.0000
0.5000 0.5000 0.5000
0.0000 0.0000 0.5000